Material: KAl2Tc
Method: DFT, PBE
State: relaxed

abc: 4.7448 4.7448 4.7448
angles: 60.00 60.00 60.00
With the nearest neighbours (Å) after each atom.
Atoms (fractional coordinates):
K 0.0000 0.0000 0.0000  8 Al 2.91
Tc 0.5000 0.5000 0.5000  8 Al 2.91
Al 0.2500 0.2500 0.2500  4 Tc 2.91, 4 K 2.91
Al 0.7500 0.7500 0.7500  4 K 2.91, 4 Tc 2.91

Results
Volume in Å³ per cell: 75.5
Formation enthalpy at 0 K in eV per atom: 0.743
Magnetization in μB/cell: 0.00
Energy above the lowest structure with this stoichiometry in meV/atom: 660.0
Symmetry: No. 225